# BeFe2B2 (PBE, relaxed)
# ΔE_f: -9.6 kcal/mol of atoms
# V: 7.8 A^3/atom
# Size of the total moment: 2.0 μB/f.u.
# Density: 6.071 g/cm³
data_BeFe2B2
_chemical_formula_sum 'Be2 Fe4 B4'
_cell_length_a 5.246
_cell_length_b 5.246
_cell_length_c 2.829
_cell_angle_alpha 90.00
_cell_angle_beta 90.00
_cell_angle_gamma 90.00
_space_group_name_H-M_alt 'P 1'
_space_group_IT_number 1
loop_
_space_group_symop_operation_xyz
'x,y,z'
loop_
_atom_site_label
_atom_site_type_symbol
_atom_site_fract_x
_atom_site_fract_y
_atom_site_fract_z
Be1 Be 0.000 0.000 0.000
Be2 Be 0.500 0.500 0.000
B1 B 0.380 0.880 0.000
B2 B 0.880 0.620 0.000
B3 B 0.620 0.120 0.000
B4 B 0.120 0.380 0.000
Fe1 Fe 0.174 0.674 0.500
Fe2 Fe 0.674 0.826 0.500
Fe3 Fe 0.826 0.326 0.500
Fe4 Fe 0.326 0.174 0.500

=====

# BeFeGe2B (PBE, relaxed)
# ΔE_f: 18.2 kcal/mol of atoms
# V: 15.8 A^3/atom
# Size of the total moment: 0.0 μB/f.u.
# Density: 4.655 g/cm³
data_BeFeGe2B
_chemical_formula_sum 'Be1 Fe1 Ge2 B1'
_cell_length_a 4.549
_cell_length_b 3.809
_cell_length_c 4.549
_cell_angle_alpha 90.00
_cell_angle_beta 90.00
_cell_angle_gamma 90.00
_space_group_name_H-M_alt 'P 1'
_space_group_IT_number 1
loop_
_space_group_symop_operation_xyz
'x,y,z'
loop_
_atom_site_label
_atom_site_type_symbol
_atom_site_fract_x
_atom_site_fract_y
_atom_site_fract_z
Be1 Be 0.500 0.500 0.500
Ge1 Ge 0.000 0.000 0.500
Ge2 Ge 0.500 0.000 0.000
B1 B 0.000 0.500 0.000
Fe1 Fe 0.000 0.000 0.000

=====

# Mn2BeFe5B2 (PBE, relaxed)
# ΔE_f: -4.7 kcal/mol of atoms
# V: 9.5 A^3/atom
# Size of the total moment: 2.5 μB/f.u.
# Density: 7.328 g/cm³
data_Mn2BeFe5B2
_chemical_formula_sum 'Mn4 Be2 Fe10 B4'
_cell_length_a 2.762
_cell_length_b 8.299
_cell_length_c 8.299
_cell_angle_alpha 90.00
_cell_angle_beta 90.00
_cell_angle_gamma 90.00
_space_group_name_H-M_alt 'P 1'
_space_group_IT_number 1
loop_
_space_group_symop_operation_xyz
'x,y,z'
loop_
_atom_site_label
_atom_site_type_symbol
_atom_site_fract_x
_atom_site_fract_y
_atom_site_fract_z
Mn1 Mn 0.000 0.675 0.175
Mn2 Mn 0.000 0.325 0.825
Mn3 Mn 0.000 0.175 0.325
Mn4 Mn 0.000 0.825 0.675
Be1 Be 0.000 0.000 0.000
Be2 Be 0.000 0.500 0.500
Fe1 Fe 0.500 0.206 0.065
Fe2 Fe 0.500 0.794 0.935
Fe3 Fe 0.500 0.065 0.794
Fe4 Fe 0.500 0.706 0.435
Fe5 Fe 0.500 0.935 0.206
Fe6 Fe 0.500 0.294 0.565
Fe7 Fe 0.500 0.565 0.706
Fe8 Fe 0.500 0.435 0.294
Fe9 Fe 0.500 0.500 0.000
Fe10 Fe 0.500 0.000 0.500
B1 B 0.000 0.128 0.628
B2 B 0.000 0.872 0.372
B3 B 0.000 0.628 0.872
B4 B 0.000 0.372 0.128

=====

# Be2FeBMo (PBE, relaxed)
# ΔE_f: -7.3 kcal/mol of atoms
# V: 9.3 A^3/atom
# Size of the total moment: 0.8 μB/f.u.
# Density: 6.442 g/cm³
data_Be2FeBMo
_chemical_formula_sum 'Be2 Fe1 B1 Mo1'
_cell_length_a 3.080
_cell_length_b 3.167
_cell_length_c 5.261
_cell_angle_alpha 107.52
_cell_angle_beta 107.02
_cell_angle_gamma 90.00
_space_group_name_H-M_alt 'P 1'
_space_group_IT_number 1
loop_
_space_group_symop_operation_xyz
'x,y,z'
loop_
_atom_site_label
_atom_site_type_symbol
_atom_site_fract_x
_atom_site_fract_y
_atom_site_fract_z
Be1 Be 0.705 0.205 0.411
Be2 Be 0.040 0.040 0.079
Fe1 Fe 0.194 0.694 0.388
B1 B 0.842 0.842 0.684
Mo1 Mo 0.431 0.431 0.862

=====

The evaluated total energy for the records listed, in turn: -0.265 -0.178 -0.293 -0.257 hartree per atom.